# ErAl4Ni (GGA-PBEsol, relaxed)
# E: -5.1266 eV/atom
# ΔH_f (0 K): -3.31 eV/f.u.
data_ErAl4Ni
_symmetry_space_group_name_H-M 'C m c m'
_symmetry_Int_Tables_number 63
_symmetry_space_group_name_Hall '-C 2c 2'
_cell_length_a 4.0182
_cell_length_b 15.1805
_cell_length_c 6.5436
_cell_angle_alpha 90.00
_cell_angle_beta 90.00
_cell_angle_gamma 90.00
loop_
_atom_site_label
_atom_site_fract_x
_atom_site_fract_y
_atom_site_fract_z
Er1 0.0000 0.1190 0.2500
Al1 0.0000 0.0752 0.7500
Al2 0.0000 0.3118 0.0521
Al3 0.0000 0.5000 0.0000
Ni1 0.0000 0.2266 0.7500

***

# Er3AlNi8 (GGA-PBEsol, relaxed)
# E: -6.1585 eV/atom
# ΔH_f (0 K): -5.77 eV/f.u.
data_Er3AlNi8
_symmetry_space_group_name_H-M 'P 63/m m c'
_symmetry_Int_Tables_number 194
_symmetry_space_group_name_Hall '-P 6c 2c'
_cell_length_a 4.9531
_cell_length_b 4.9531
_cell_length_c 15.7325
_cell_angle_alpha 90.00
_cell_angle_beta 90.00
_cell_angle_gamma 120.00
loop_
_atom_site_label
_atom_site_fract_x
_atom_site_fract_y
_atom_site_fract_z
Er1 0.3333 0.6667 0.0456
Er2 0.3333 0.6667 0.2500
Al1 0.0000 0.0000 0.0000
Ni1 0.0000 0.0000 0.2500
Ni2 0.1690 0.3381 0.6252
Ni3 0.3333 0.6667 0.7500

***

# ErAlO3 (GGA-PBEsol, relaxed)
# E: -8.3886 eV/atom
# Formation energy from raw total energies: -3435 meV/atom
data_ErAlO3
_symmetry_space_group_name_H-M 'P n m a'
_symmetry_Int_Tables_number 62
_symmetry_space_group_name_Hall '-P 2ac 2n'
_cell_length_a 5.3248
_cell_length_b 7.3163
_cell_length_c 5.1152
_cell_angle_alpha 90.00
_cell_angle_beta 90.00
_cell_angle_gamma 90.00
loop_
_atom_site_label
_atom_site_fract_x
_atom_site_fract_y
_atom_site_fract_z
Er1 0.0611 0.2500 0.0152
Al1 0.0000 0.0000 0.5000
O1 0.0263 0.7500 0.4067
O2 0.2021 0.5487 0.7987